# KLi2TaW PBE relaxed
# * energy of formation from the pure elements: 1418 kJ/mol of formula units
# * mass density: 5.82 g cm⁻³
# * electronic total energy: -3.007 eV/atom
# * total magnetic moment: 0.00 Bohr magnetons per cell
data_KLi2TaW
_symmetry_space_group_name_H-M 'P 4/m m m'
_symmetry_Int_Tables_number 123
_symmetry_space_group_name_Hall '-P 4 2'
_cell_length_a 4.835
_cell_length_b 4.835
_cell_length_c 5.100
_cell_angle_alpha 90.00
_cell_angle_beta 90.00
_cell_angle_gamma 90.00
loop_
_atom_site_label
_atom_site_fract_x
_atom_site_fract_y
_atom_site_fract_z
_atom_site_occupancy
K1 0.000 0.000 0.000 1
Li1 0.000 0.500 0.500 1
Ta1 0.000 0.000 0.500 1
W1 0.500 0.500 0.000 1



# Nd6Dy8Mg PBE relaxed
# * energy of formation from the pure elements: 181 kJ/mol of formula units
# * mass density: 7.32 g cm⁻³
# * electronic total energy: -4.343 eV/atom
# * total magnetic moment: 0.00 Bohr magnetons per cell
data_Nd6Dy8Mg
_symmetry_space_group_name_H-M 'P -3'
_symmetry_Int_Tables_number 147
_cell_length_a 9.5120
_cell_length_b 9.5120
_cell_length_c 6.3421
_cell_angle_alpha 90.00
_cell_angle_beta 90.00
_cell_angle_gamma 120.00
loop_
_symmetry_equiv_pos_as_xyz
'x,y,z'
'-x,-y,-z'
'-y,x-y,z'
'y,-x+y,-z'
'-x+y,-x,z'
'x-y,x,-z'
loop_
_atom_site_label
_atom_site_fract_x
_atom_site_fract_y
_atom_site_fract_z
_atom_site_occupancy
Nd1 0.0890 0.4497 0.1858 1
Dy1 0.0382 0.2649 0.6873 1
Dy2 0.3333 0.6667 0.6676 1
Mg1 0.0000 0.0000 0.0000 1



# PmTmZr PBE relaxed
# * energy of formation from the pure elements: 26 kJ/mol of formula units
# * mass density: 7.83 g cm⁻³
# * electronic total energy: -5.832 eV/atom
# * total magnetic moment: 0.00 Bohr magnetons per cell
data_PmTmZr
_symmetry_space_group_name_H-M 'I 4 m m'
_symmetry_Int_Tables_number 107
_symmetry_space_group_name_Hall 'I 4 -2'
_cell_length_a 3.396
_cell_length_b 3.396
_cell_length_c 14.899
_cell_angle_alpha 90.00
_cell_angle_beta 90.00
_cell_angle_gamma 90.00
loop_
_atom_site_label
_atom_site_fract_x
_atom_site_fract_y
_atom_site_fract_z
_atom_site_occupancy
Pm1 0.000 0.000 0.000 1
Tm1 0.000 0.000 0.688 1
Zr1 0.000 0.000 0.338 1



# Ti6GaMo2 PBE relaxed
# * energy of formation from the pure elements: 52 kJ/mol of formula units
# * mass density: 5.82 g cm⁻³
# * electronic total energy: -7.947 eV/atom
# * total magnetic moment: 0.01 Bohr magnetons per cell
data_Ti6GaMo2
_symmetry_space_group_name_H-M 'I m m m'
_symmetry_Int_Tables_number 71
_symmetry_space_group_name_Hall '-I 2 2'
_cell_length_a 8.131
_cell_length_b 8.692
_cell_length_c 8.860
_cell_angle_alpha 90.00
_cell_angle_beta 90.00
_cell_angle_gamma 90.00
loop_
_atom_site_label
_atom_site_fract_x
_atom_site_fract_y
_atom_site_fract_z
_atom_site_occupancy
Ti1 0.000 0.233 0.166 1
Ti2 0.181 0.220 0.500 1
Ti3 0.201 0.500 0.245 1
Ga1 0.000 0.500 0.000 1
Ga2 0.000 0.500 0.500 1
Mo1 0.000 0.000 0.334 1
Mo2 0.166 0.000 0.000 1



# Ta2Ti2Be4Si PBE relaxed
# * mass density: 6.75 g cm⁻³
# * formation energy without anion corrections: 241 meV per atom
# * electronic total energy: -6.406 eV/atom
# * total magnetic moment: 0.00 Bohr magnetons per cell
data_Ta2Ti2Be4Si
_symmetry_space_group_name_H-M 'I 4/m m m'
_symmetry_Int_Tables_number 139
_symmetry_space_group_name_Hall '-I 4 2'
_cell_length_a 5.487
_cell_length_b 5.487
_cell_length_c 8.529
_cell_angle_alpha 90.00
_cell_angle_beta 90.00
_cell_angle_gamma 90.00
loop_
_atom_site_label
_atom_site_fract_x
_atom_site_fract_y
_atom_site_fract_z
_atom_site_occupancy
Ta1 0.000 0.000 0.223 1
Ti1 0.000 0.500 0.250 1
Be1 0.215 0.215 0.000 1
Si1 0.000 0.000 0.500 1



# TiV PBE relaxed
# * energy of formation from the pure elements: 21 kJ/mol of formula units
# * mass density: 5.42 g cm⁻³
# * electronic total energy: -8.395 eV/atom
# * total magnetic moment: 0.00 Bohr magnetons per cell
data_TiV
_symmetry_space_group_name_H-M 'R -3 m'
_symmetry_Int_Tables_number 166
_symmetry_space_group_name_Hall '-R 3 2"'
_cell_length_a 4.6728
_cell_length_b 4.6728
_cell_length_c 4.8031
_cell_angle_alpha 90.00
_cell_angle_beta 90.00
_cell_angle_gamma 120.00
loop_
_atom_site_label
_atom_site_fract_x
_atom_site_fract_y
_atom_site_fract_z
_atom_site_occupancy
Ti1 0.0000 0.0000 0.0000 1
V1 0.0000 0.0000 0.5000 1



# Sr2B4P PBE relaxed
# * energy of formation from the pure elements: 613 kJ/mol of formula units
# * mass density: 3.42 g cm⁻³
# * electronic total energy: -4.161 eV/atom
# * total magnetic moment: 0.00 Bohr magnetons per cell
data_Sr2B4P
_symmetry_space_group_name_H-M 'I 4/m m m'
_symmetry_Int_Tables_number 139
_symmetry_space_group_name_Hall '-I 4 2'
_cell_length_a 4.168
_cell_length_b 4.168
_cell_length_c 13.948
_cell_angle_alpha 90.00
_cell_angle_beta 90.00
_cell_angle_gamma 90.00
loop_
_atom_site_label
_atom_site_fract_x
_atom_site_fract_y
_atom_site_fract_z
_atom_site_occupancy
Sr1 0.000 0.000 0.149 1
B1 0.000 0.000 0.367 1
B2 0.000 0.500 0.000 1
P1 0.000 0.000 0.500 1



# NdSmSc PBE relaxed
# * energy of formation from the pure elements: 75 kJ/mol of formula units
# * mass density: 5.85 g cm⁻³
# * electronic total energy: -5.014 eV/atom
# * total magnetic moment: 0.01 Bohr magnetons per cell
data_NdSmSc
_symmetry_space_group_name_H-M 'R -3 m'
_symmetry_Int_Tables_number 166
_symmetry_space_group_name_Hall '-R 3 2"'
_cell_length_a 6.7885
_cell_length_b 6.7885
_cell_length_c 43.4501
_cell_angle_alpha 90.00
_cell_angle_beta 90.00
_cell_angle_gamma 120.00
loop_
_atom_site_label
_atom_site_fract_x
_atom_site_fract_y
_atom_site_fract_z
_atom_site_occupancy
Nd1 0.0000 0.0000 0.0428 1
Nd2 0.0000 0.0000 0.1830 1
Nd3 0.0000 0.0000 0.2586 1
Sm1 0.0000 0.0000 0.3993 1
Sm2 0.0000 0.0000 0.5000 1
Sm3 0.0000 0.5000 0.0000 1
Sc1 0.0461 0.5231 0.7810 1